No. 1
Computed, not measured: an optimized crystal structure of SrSc2Ta at the PBE-GGA level of DFT.

Results
The value obtained for the magnetic moment is 0.0 μB/cell. The calculation puts the formation enthalpy at 0 K at 0.615 eV per atom. Its space-group type is Imm2.

```
4
Lattice="6.5706 0.0012 0.0002 3.3829 5.6329 -0.0002 -4.1802 -4.2242 2.8026" Properties=species:S:1:pos:R:3 pbc="T T T"
Ta 3.9034 -0.5786 1.4014
Sr 5.1398 2.9093 0.0000
Sc 1.9344 2.0249 1.4012
Sc 9.7260 5.5053 0.0000
```

---

No. 2
Computed, not measured: an optimized crystal structure of BaLaMn2 at the PBE-GGA level of DFT.

Results
The value obtained for the magnetic moment is 6.8 μB/cell. The calculation puts the formation enthalpy at 0 K at 0.545 eV per atom. Its space-group type is Fm-3m.

```
4
Lattice="0.0000 3.8580 3.8580 3.8580 0.0000 3.8580 3.8580 3.8580 0.0000" Properties=species:S:1:pos:R:3 pbc="T T T"
Mn 1.9290 1.9290 1.9290
Mn 5.7870 5.7870 5.7870
Ba 0.0000 0.0000 0.0000
La 3.8580 3.8580 3.8580
```

---

No. 3
Computed, not measured: an optimized crystal structure of ReSb2Pb at the PBE-GGA level of DFT.

Results
Its raw formation energy is 143 kJ/mol of formula units. The value obtained for the magnetic moment is 0.0 μB/cell. Its space-group type is Pm.

```
4
Lattice="3.4507 0.0000 0.0000 0.0000 6.5063 0.8892 0.0000 3.8869 5.3106" Properties=species:S:1:pos:R:3 pbc="T T T"
Sb 0.0000 9.6397 5.7567
Sb 1.7253 2.6078 1.5511
Re 1.7253 7.8687 4.6865
Pb 0.0000 5.8668 3.5051
```

---

No. 4
Computed, not measured: an optimized crystal structure of Rb2Au at the PBE-GGA level of DFT.

Results
The value obtained for the magnetic moment is 0.0 μB/cell. The calculation puts the formation enthalpy at 0 K at -0.178 eV per atom. Its space-group type is C2/m.

```
3
Lattice="4.7524 0.0078 1.4035 2.5870 4.2400 0.0030 0.0094 -0.0068 8.8070" Properties=species:S:1:pos:R:3 pbc="T T T"
Rb 2.0389 3.0686 2.0900
Rb 0.7062 0.9751 6.6609
Au 5.0470 4.1425 9.4823
```

---

No. 5
Computed, not measured: an optimized crystal structure of TaMn8Re3 at the PBE-GGA level of DFT.

Results
The value obtained for the magnetic moment is 0.0 μB/cell. The calculation puts the formation enthalpy at 0 K at -0.152 eV per atom. Its space-group type is P3m1.

```
12
Lattice="-1.6082 1.4945 -4.1402 -2.9759 -1.7097 3.1909 -0.9395 7.0994 2.9276" Properties=species:S:1:pos:R:3 pbc="T T T"
Mn -2.9914 2.9205 2.2161
Mn -3.8193 1.3377 0.5960
Mn -1.5589 6.0769 0.1469
Mn -2.9903 5.2545 1.6818
Mn -2.9883 0.5655 2.7353
Mn -2.5218 -0.6276 0.7530
Mn -3.7638 5.9734 -0.3097
Mn -1.4507 1.4489 1.0865
Ta -0.5293 3.9999 1.6495
Re -2.1278 0.9082 -1.4978
Re -0.8807 6.6552 2.7444
Re -2.4653 3.4581 -0.4463
```

---

No. 6
Computed, not measured: an optimized crystal structure of Mn2AlAu at the PBE-GGA level of DFT.

Results
The value obtained for the magnetic moment is 6.0 μB/cell. The calculation puts the formation enthalpy at 0 K at -0.126 eV per atom. Its space-group type is P4/mmm.

```
4
Lattice="-0.1836 3.8396 0.1314 -2.6484 -0.2217 2.7771 2.8557 0.0432 2.7268" Properties=species:S:1:pos:R:3 pbc="T T T"
Au 0.1037 -0.0892 2.7520
Mn -1.4160 1.8090 1.4543
Mn 0.0000 0.0000 0.0000
Al 1.3361 1.9414 1.4291
```

---

No. 7
Computed, not measured: an optimized crystal structure of KZrInBr6 at the PBE-GGA level of DFT.

Results
Its raw formation energy is -1152 kJ/mol of formula units. The value obtained for the magnetic moment is 0.0 μB/cell. Its space-group type is P-31c.

```
18
Lattice="7.8568 0.0000 0.0000 -3.9284 6.8042 0.0000 0.0000 0.0000 13.2807" Properties=species:S:1:pos:R:3 pbc="T T T"
Br -1.0777 6.4221 8.4276
Br -1.0945 2.6598 8.4276
Br 1.0945 2.6598 11.4935
Br 1.0777 6.4221 11.4935
Br 1.7562 2.2778 4.8531
Br 6.1006 2.2778 1.7873
Br -2.1722 4.5264 11.4935
Br 5.0061 0.3820 4.8531
Br 2.1722 4.5264 8.4276
Br 5.0229 4.1444 4.8531
Br 2.8507 0.3820 1.7873
Br 2.8339 4.1444 1.7873
Zr 3.9284 2.2680 3.3202
Zr 0.0000 4.5361 9.9605
In 0.0000 4.5361 3.3202
In 3.9284 2.2680 9.9605
K 0.0000 0.0000 0.0000
K 0.0000 0.0000 6.6404
```

---

No. 8
Computed, not measured: an optimized crystal structure of Nd8ErSc2 at the PBE-GGA level of DFT.

Results
The value obtained for the magnetic moment is 0.0 μB/cell. The calculation puts the formation enthalpy at 0 K at 0.157 eV per atom. Its space-group type is C2/m.

```
11
Lattice="5.6789 1.5785 0.0000 2.5413 8.6783 0.0000 1.2706 4.3391 8.0897" Properties=species:S:1:pos:R:3 pbc="T T T"
Nd 4.1101 5.1284 4.7169
Nd 2.7393 4.1039 0.0000
Nd 4.2371 11.4171 6.1586
Nd 5.3807 9.4675 3.3728
Nd 6.5243 7.5180 6.1586
Nd 2.9664 7.0780 1.9311
Nd 5.4808 6.1529 0.0000
Nd 5.2537 3.1788 1.9311
Sc 1.2706 4.3391 3.0723
Sc 2.5413 8.6783 5.0174
Er 2.8394 0.7893 0.0000
```

---

No. 9
Computed, not measured: an optimized crystal structure of TmV2Tc at the PBE-GGA level of DFT.

Results
The value obtained for the magnetic moment is 0.0 μB/cell. The calculation puts the formation enthalpy at 0 K at 0.082 eV per atom. Its space-group type is P4/mmm.

```
4
Lattice="3.0886 0.0000 0.0000 0.0000 3.0886 0.0000 0.0000 0.0000 7.1344" Properties=species:S:1:pos:R:3 pbc="T T T"
Tc 1.5443 1.5443 0.0000
V 0.0000 0.0000 5.7320
V 0.0000 0.0000 1.4023
Tm 1.5443 1.5443 3.5672
```

---

No. 10
Computed, not measured: an optimized crystal structure of Cd2TcTeP at the PBE-GGA level of DFT.

Results
Its raw formation energy is 654 kJ/mol of formula units. The value obtained for the magnetic moment is 3.4 μB/cell. Its space-group type is P4/mmm.

```
5
Lattice="-2.7189 1.1109 4.6354 0.0241 -5.3332 1.2922 4.4008 0.6099 2.4351" Properties=species:S:1:pos:R:3 pbc="T T T"
P 0.8530 -1.8062 4.1814
Te 0.0000 0.0000 0.0000
Tc 2.2004 0.3050 1.2176
Cd -1.3595 0.5554 2.3177
Cd 0.0121 -2.6666 0.6461
```

---

No. 11
Computed, not measured: an optimized crystal structure of Al3Zn3Bi at the PBE-GGA level of DFT.

Results
The value obtained for the magnetic moment is 0.0 μB/cell. The calculation puts the formation enthalpy at 0 K at 0.562 eV per atom. Its space-group type is Pm-3n.

```
14
Lattice="-6.1565 3.4241 0.0747 -3.4244 -6.1515 -0.2554 -0.0589 -0.2595 7.0400" Properties=species:S:1:pos:R:3 pbc="T T T"
Zn -4.6469 2.4383 3.5761
Zn -1.5686 0.7263 3.5387
Zn -1.7564 -3.2704 5.1523
Zn -3.9344 0.1742 -0.0265
Zn -1.7269 -3.1406 1.6323
Zn -5.6466 -2.9016 -0.1542
Bi -4.8199 -1.4935 3.4297
Bi 0.0000 0.0000 0.0000
Al -0.8855 -1.6676 3.4562
Al -3.1224 1.5174 5.3174
Al -3.2513 -2.2197 -0.1090
Al -2.5977 -4.7434 3.3285
Al -6.3296 -0.5077 -0.0717
Al -3.0930 1.6472 1.7974
```

---

No. 12
Computed, not measured: an optimized crystal structure of TeOs4Rh at the PBE-GGA level of DFT.

Results
Its raw formation energy is 577 kJ/mol of formula units. The value obtained for the magnetic moment is 0.0 μB/cell. Its space-group type is F-43m.

```
6
Lattice="0.0000 3.6985 3.6985 3.6985 0.0000 3.6985 3.6985 3.6985 0.0000" Properties=species:S:1:pos:R:3 pbc="T T T"
Os 2.7836 2.7836 4.6133
Os 2.7836 4.6133 2.7836
Os 4.6133 2.7836 2.7836
Os 4.6133 4.6133 4.6133
Te 0.0000 0.0000 0.0000
Rh 1.8492 1.8492 1.8492
```

---

No. 13
Computed, not measured: an optimized crystal structure of Nd3Er2TmSe6 at the PBE-GGA level of DFT.

Results
Its raw formation energy is -2051 kJ/mol of formula units. The value obtained for the magnetic moment is 0.0 μB/cell. Its space-group type is C2/m.

```
12
Lattice="7.0638 -0.0149 -0.0032 -3.5431 6.1110 -0.0032 -1.1775 -2.0388 6.9414" Properties=species:S:1:pos:R:3 pbc="T T T"
Se 2.3510 4.0707 1.6022
Se -0.0078 -0.0135 5.3329
Se -1.1774 2.0257 1.5988
Se 2.3430 -0.0075 1.5988
Se 0.0003 4.0647 5.3363
Se 3.5206 2.0316 5.3363
Er 3.5279 2.0272 -0.0032
Er -0.0072 4.0688 -0.0032
Nd 1.1716 2.0286 3.4675
Nd -2.3527 4.0641 3.4675
Nd 4.6959 -0.0068 3.4675
Tm 0.0000 0.0000 0.0000
```

---

No. 14
Computed, not measured: an optimized crystal structure of TlAg2BrCl2 at the PBE-GGA level of DFT.

Results
Its raw formation energy is -329 kJ/mol of formula units. The value obtained for the magnetic moment is 0.0 μB/cell. Its space-group type is P2_1/m.

```
12
Lattice="5.9194 0.0000 0.0000 0.0000 7.3740 -0.0734 0.0000 -2.7728 8.4159" Properties=species:S:1:pos:R:3 pbc="T T T"
Ag 5.9096 0.2561 1.4759
Ag 2.9694 0.2561 1.4759
Ag 2.9499 4.3450 6.8667
Ag 0.0097 4.3450 6.8667
Tl 1.4798 3.7610 2.9829
Tl 4.4395 0.8401 5.3597
Br 1.4798 -0.9487 8.0313
Br 4.4395 5.5498 0.3113
Cl 1.4798 -0.5239 3.4355
Cl 4.4395 2.1727 2.5702
Cl 4.4395 5.1250 4.9071
Cl 1.4798 2.4285 5.7724
```

---

No. 15
Computed, not measured: an optimized crystal structure of Zr2AsPb at the PBE-GGA level of DFT.

Results
The value obtained for the magnetic moment is 0.0 μB/cell. The calculation puts the formation enthalpy at 0 K at -0.276 eV per atom. Its space-group type is Fm-3m.

```
4
Lattice="3.9734 0.9844 2.8126 -0.5876 1.3402 4.7461 1.3000 -3.1187 3.6402" Properties=species:S:1:pos:R:3 pbc="T T T"
Zr 1.1714 -0.1985 2.7997
Zr 3.5143 -0.5955 8.3992
Pb 2.3429 -0.3970 5.5995
As 0.0000 0.0000 0.0000
```

---

No. 16
Computed, not measured: an optimized crystal structure of Sc6GaPd12 at the PBE-GGA level of DFT.

Results
The value obtained for the magnetic moment is 0.0 μB/cell. The calculation puts the formation enthalpy at 0 K at -0.748 eV per atom. Its space-group type is R-3.

```
19
Lattice="-2.0889 -6.5597 -0.8613 4.5347 -1.5380 5.0206 -5.1248 1.6212 4.3868" Properties=species:S:1:pos:R:3 pbc="T T T"
Pd -3.0361 -3.0230 5.4016
Pd -0.1953 -3.4642 5.9577
Pd -1.3061 -6.6230 6.4203
Pd -1.1779 -2.2081 0.4025
Pd -1.5011 -4.2684 8.1437
Pd -3.8549 -5.2145 6.6888
Pd 0.3571 -3.4535 3.1445
Pd -1.6289 -5.2627 4.1454
Pd -1.3728 0.1465 2.1258
Pd 1.1759 -1.2620 1.8574
Pd -1.0500 -1.2138 4.4007
Pd -2.4837 -3.0122 2.5884
Sc 1.4972 -1.6181 4.9759
Sc -4.1762 -4.8584 3.5703
Sc -1.7603 -1.3422 6.9922
Sc 1.1228 -5.4364 4.7934
Sc -0.9187 -5.1343 1.5540
Sc -3.8018 -1.0401 3.7528
Ga 0.0000 0.0000 0.0000
```

---

No. 17
Computed, not measured: an optimized crystal structure of Li2TiRhAu at the PBE-GGA level of DFT.

Results
The value obtained for the magnetic moment is 2.3 μB/cell. The calculation puts the formation enthalpy at 0 K at 1.135 eV per atom. Its space-group type is P4/mmm.

```
5
Lattice="-1.7859 -2.9923 -2.8230 3.0310 -3.3275 1.6096 -2.9727 -1.1886 3.1405" Properties=species:S:1:pos:R:3 pbc="T T T"
Li -1.4863 -0.5943 1.5702
Li -0.8929 -1.4961 -1.4115
Ti 0.0000 0.0000 0.0000
Rh -0.8638 -3.7542 0.9635
Au 1.5155 -1.6638 0.8048
```

---

No. 18
Computed, not measured: an optimized crystal structure of HfScAgSn at the PBE-GGA level of DFT.

Results
The value obtained for the magnetic moment is 0.0 μB/cell. The calculation puts the formation enthalpy at 0 K at -0.250 eV per atom. Its space-group type is F-43m.

```
4
Lattice="4.9100 0.0000 0.0000 2.4550 4.2521 0.0000 2.4550 1.4174 4.0090" Properties=species:S:1:pos:R:3 pbc="T T T"
Hf 0.0000 0.0000 0.0000
Sn 2.4550 1.4174 1.0022
Sc 4.9100 2.8348 2.0045
Ag 7.3649 4.2521 3.0067
```

---

No. 19
Computed, not measured: an optimized crystal structure of GdLuAl at the PBE-GGA level of DFT.

Results
The value obtained for the magnetic moment is 7.3 μB/cell. The calculation puts the formation enthalpy at 0 K at -0.147 eV per atom. Its space-group type is P3m1.

```
3
Lattice="3.5335 0.0000 0.0000 0.0000 5.0415 0.0000 0.0000 -2.5207 4.3661" Properties=species:S:1:pos:R:3 pbc="T T T"
Gd 3.4074 0.0000 0.0000
Al 2.2280 2.5207 1.4554
Lu 1.4316 0.0000 2.9107
```

---

No. 20
Computed, not measured: an optimized crystal structure of Li5TmAg6 at the PBE-GGA level of DFT.

Results
The value obtained for the magnetic moment is 0.0 μB/cell. The calculation puts the formation enthalpy at 0 K at -0.204 eV per atom. Its space-group type is Immm.

```
12
Lattice="4.5084 0.0185 -1.3153 -0.8788 5.6374 -2.9361 -0.1135 0.4986 8.0035" Properties=species:S:1:pos:R:3 pbc="T T T"
Ag 3.1485 3.5178 2.4565
Ag 1.6166 4.1004 -2.7885
Ag -0.0531 5.3339 -0.1091
Ag 2.0129 1.5554 -1.4629
Ag 0.3676 2.6366 1.2956
Ag 3.5692 0.8205 3.8612
Li 2.3844 3.9416 -0.1579
Li 2.8049 1.0860 1.2450
Li 1.1317 2.2128 3.9100
Li 0.7112 5.0684 2.5071
Li -0.4394 2.8187 -1.4680
Tm 0.0000 0.0000 0.0000
```

---

No. 21
Computed, not measured: an optimized crystal structure of Zn at the PBE-GGA level of DFT.

Results
The value obtained for the magnetic moment is 0.0 μB/cell. The calculation puts the formation enthalpy at 0 K at 0.522 eV per atom. Its space-group type is Im-3m.

```
12
Lattice="-3.3317 -5.6906 2.7687 4.7743 -4.3139 -3.1215 4.1538 0.3941 5.8085" Properties=species:S:1:pos:R:3 pbc="T T T"
Zn 1.9149 -6.0808 -0.9568
Zn -0.4722 -3.9238 0.6039
Zn 3.2705 -0.8814 2.1239
Zn 1.5542 -3.5796 -0.8686
Zn 5.6577 -3.0384 0.5631
Zn -0.4218 -4.0709 4.9808
Zn -0.1116 -6.4249 0.5157
Zn -0.6274 -2.7468 2.8365
Zn 1.2440 -1.2256 3.5964
Zn 3.4256 -2.0584 -0.1086
Zn 1.4495 -2.5497 5.7407
Zn 5.5025 -1.8614 2.7956
```

---

No. 22
Computed, not measured: an optimized crystal structure of Hf3ScSe at the PBE-GGA level of DFT.

Results
Its raw formation energy is 592 kJ/mol of formula units. The value obtained for the magnetic moment is 0.0 μB/cell. Its space-group type is Pm-3m.

```
5
Lattice="-2.0332 -1.6589 -4.3029 2.3191 -4.4325 0.6130 -3.9861 -1.7326 2.5515" Properties=species:S:1:pos:R:3 pbc="T T T"
Hf -1.0166 -0.8295 -2.1514
Hf -1.9930 -0.8663 1.2758
Hf 1.1596 -2.2162 0.3065
Sc 0.0000 0.0000 0.0000
Se -1.8501 -3.9120 -0.5692
```

---

No. 23
Computed, not measured: an optimized crystal structure of LiThSbS at the PBE-GGA level of DFT.

Results
Its raw formation energy is -468 kJ/mol of formula units. The value obtained for the magnetic moment is 0.0 μB/cell. Its space-group type is P4/nmm.

```
8
Lattice="4.4349 0.0000 0.0000 0.0000 4.4349 0.0000 0.0000 0.0000 9.7265" Properties=species:S:1:pos:R:3 pbc="T T T"
Sb 2.2175 0.0000 6.6181
Sb 0.0000 2.2175 3.1084
Li 2.2175 2.2175 4.8633
Li 0.0000 0.0000 4.8633
S 2.2175 2.2175 0.0000
S 0.0000 0.0000 0.0000
Th 2.2175 0.0000 1.7246
Th 0.0000 2.2175 8.0019
```

---

No. 24
Computed, not measured: an optimized crystal structure of Tm2PuAgHg4 at the PBE-GGA level of DFT.

Results
The value obtained for the magnetic moment is 6.1 μB/cell. The calculation puts the formation enthalpy at 0 K at -0.257 eV per atom. Its space-group type is R-3m.

```
8
Lattice="5.0909 0.0000 0.0000 2.5454 4.4088 0.0000 2.5454 1.4696 8.6206" Properties=species:S:1:pos:R:3 pbc="T T T"
Tm 7.6363 4.4088 6.3205
Tm 2.5454 1.4696 2.3001
Hg 5.0909 2.9392 1.1557
Hg 2.5454 1.4696 5.3737
Hg 7.6363 4.4088 3.2469
Hg 5.0909 2.9392 7.4650
Ag 5.0909 2.9392 4.3103
Pu 0.0000 0.0000 0.0000
```